# 1
Here is CdAsIr2 after structural relaxation from the Alexandria database. Energies are from GGA-PBE.

Cell lengths 2.9648, 4.6413, 4.9700 Å; angles 90.00, 90.00, 90.00 degrees
Closest atoms and distances in Å follow each position.
Positions (direct):
Cd 0.0000 0.0000 0.0000  6 Ir 2.85-2.94, 2 Cd 2.96, 4 As 3.06
As 0.5000 0.5000 0.2671  4 Ir 2.45-2.62
Ir 0.0000 0.5000 0.6600  2 As 2.45
Ir 0.5000 0.0000 0.5112  2 As 2.62, 2 Cd 2.85, 4 Ir 2.85

spin magnetization	0.00	Bohr magnetons per cell
symmetry	No. 25
DFT formation energy	0.71	eV per formula unit
crystal system	orthorhombic


# 2
Here is Pm6Nd3Ho after structural relaxation from the Alexandria database. Energies are from GGA-PBE.

Cell lengths 6.7294, 6.7294, 9.1887 Å; angles 104.91, 104.91, 61.36 degrees
Closest atoms and distances in Å follow each position.
Positions (direct):
Pm 0.0720 0.5510 0.1980  3 Nd 3.21-3.55, 3 Pm 3.29-3.58
Pm 0.1243 0.1243 0.4178  7 Pm 3.63-4.00, 1 Ho 3.67, 2 Nd 3.88
Pm 0.4490 0.9280 0.8020  3 Nd 3.21-3.55, 3 Pm 3.29-3.58
Pm 0.5510 0.0720 0.1980  3 Nd 3.21-3.55, 3 Pm 3.29-3.58
Pm 0.8757 0.8757 0.5822  7 Pm 3.63-4.00, 1 Ho 3.67, 2 Nd 3.88
Pm 0.9280 0.4490 0.8020  3 Nd 3.21-3.55, 3 Pm 3.29-3.58
Nd 0.4246 0.4246 0.8313  2 Nd 3.07-3.41, 2 Pm 3.21
Nd 0.5000 0.5000 0.5000  4 Pm 3.40, 2 Nd 3.41
Nd 0.5754 0.5754 0.1687  2 Nd 3.07-3.41, 2 Pm 3.21
Ho 0.0000 0.0000 0.0000  10 Pm 3.67-3.88, 4 Nd 3.76

spin magnetization	0.00	Bohr magnetons per cell
symmetry	No. 12
DFT formation energy	2.16	eV per formula unit
crystal system	monoclinic


# 3
Here is Li3Pa2CrN6 after structural relaxation from the Alexandria database. Energies are from GGA-PBE.

Cell lengths 5.8019, 5.8019, 5.2923 Å; angles 98.55, 98.55, 121.53 degrees
Closest atoms and distances in Å follow each position.
Positions (direct):
Li 0.0000 0.0000 0.0000  6 N 2.34-2.40
Li 0.3758 0.6242 0.0000  4 N 2.15-2.24
Li 0.6242 0.3758 0.0000  4 N 2.15-2.24
Pa 0.1676 0.8324 0.5000  6 N 2.24-2.31
Pa 0.8324 0.1676 0.5000  6 N 2.24-2.31
Cr 0.5000 0.5000 0.5000  6 N 2.03-2.10
N 0.1386 0.4359 0.2902  1 Cr 2.03, 1 Li 2.24, 1 Pa 2.24
N 0.2444 0.2444 0.7150  1 Cr 2.10, 3 Li 2.15-2.34, 2 Pa 2.27
N 0.4359 0.1386 0.2902  1 Cr 2.03, 1 Li 2.24, 1 Pa 2.24
N 0.5641 0.8614 0.7098  1 Cr 2.03, 1 Li 2.24, 1 Pa 2.24
N 0.7556 0.7556 0.2850  1 Cr 2.10, 3 Li 2.15-2.34, 2 Pa 2.27
N 0.8614 0.5641 0.7098  1 Cr 2.03, 1 Li 2.24, 1 Pa 2.24

spin magnetization	1.00	Bohr magnetons per cell
symmetry	No. 12
crystal system	monoclinic
formation energy from raw total energies	-895.7	meV/atom


# 4
Here is SmCu6 after structural relaxation from the Alexandria database. Energies are from GGA-PBE.

Cell lengths 8.0255, 5.1065, 10.0734 Å; angles 90.00, 90.00, 90.00 degrees
Closest atoms and distances in Å follow each position.
Positions (direct):
Sm 0.2407 0.2500 0.0641  13 Cu 2.89-3.21
Sm 0.2593 0.7500 0.5641  13 Cu 2.89-3.21
Sm 0.7407 0.2500 0.4359  13 Cu 2.89-3.21
Sm 0.7593 0.7500 0.9359  13 Cu 2.89-3.21
Cu 0.0662 0.0060 0.3093  9 Cu 2.45-2.69
Cu 0.0662 0.4940 0.3093  9 Cu 2.45-2.69
Cu 0.0661 0.7500 0.0953  5 Cu 2.48-2.60
Cu 0.1004 0.2500 0.5176  6 Cu 2.45-2.60
Cu 0.1467 0.7500 0.8556  8 Cu 2.50-2.75
Cu 0.1814 0.2500 0.7570  9 Cu 2.47-2.75
Cu 0.3186 0.7500 0.2570  9 Cu 2.47-2.75
Cu 0.3533 0.2500 0.3556  8 Cu 2.50-2.75
Cu 0.3996 0.7500 0.0176  6 Cu 2.45-2.60
Cu 0.4339 0.2500 0.5953  5 Cu 2.48-2.60
Cu 0.4338 0.5060 0.8093  9 Cu 2.45-2.69
Cu 0.4338 0.9940 0.8093  9 Cu 2.45-2.69
Cu 0.5662 0.0060 0.1907  9 Cu 2.45-2.69
Cu 0.5662 0.4940 0.1907  9 Cu 2.45-2.69
Cu 0.5661 0.7500 0.4047  5 Cu 2.48-2.60
Cu 0.6004 0.2500 0.9824  6 Cu 2.45-2.60
Cu 0.6467 0.7500 0.6444  8 Cu 2.50-2.75
Cu 0.6814 0.2500 0.7430  9 Cu 2.47-2.75
Cu 0.8186 0.7500 0.2430  9 Cu 2.47-2.75
Cu 0.8533 0.2500 0.1444  8 Cu 2.50-2.75
Cu 0.8996 0.7500 0.4824  6 Cu 2.45-2.60
Cu 0.9339 0.2500 0.9047  5 Cu 2.48-2.60
Cu 0.9338 0.5060 0.6907  9 Cu 2.45-2.69
Cu 0.9338 0.9940 0.6907  9 Cu 2.45-2.69

spin magnetization	0.00	Bohr magnetons per cell
symmetry	No. 62
DFT formation energy	-1.04	eV per formula unit
crystal system	orthorhombic


# 5
Here is CdGa2CuTe4 after structural relaxation from the Alexandria database. Energies are from GGA-PBE.

Cell lengths 7.6837, 7.5458, 6.4522 Å; angles 66.05, 63.83, 50.12 degrees
Closest atoms and distances in Å follow each position.
Positions (direct):
Cd 0.0000 0.0000 0.0000  4 Te 2.86-2.89
Ga 0.2475 0.2475 0.2525  4 Te 2.74-2.76
Ga 0.7475 0.7475 0.7525  4 Te 2.74-2.76
Cu 0.5014 0.5014 0.4986  4 Te 2.60-2.62
Te 0.1487 0.6142 0.3858  1 Cu 2.62, 2 Ga 2.76, 1 Cd 2.89
Te 0.3979 0.8638 0.6021  1 Cu 2.60, 2 Ga 2.74, 1 Cd 2.86
Te 0.6142 0.1487 0.8513  1 Cu 2.62, 2 Ga 2.76, 1 Cd 2.89
Te 0.8638 0.3979 0.1362  1 Cu 2.60, 2 Ga 2.74, 1 Cd 2.86

spin magnetization	0.00	Bohr magnetons per cell
symmetry	No. 42
crystal system	orthorhombic
formation energy from raw total energies	-267.0	meV/atom


# 6
Here is FeP3N after structural relaxation from the Alexandria database. Energies are from GGA-PBE.

Cell lengths 4.2189, 4.2189, 4.2189 Å; angles 90.00, 90.00, 90.00 degrees
Closest atoms and distances in Å follow each position.
Positions (direct):
Fe 0.0000 0.0000 0.0000  6 P 2.11
P 0.0000 0.0000 0.5000  2 Fe 2.11
P 0.0000 0.5000 0.0000  2 Fe 2.11
P 0.5000 0.0000 0.0000  2 Fe 2.11
N 0.5000 0.5000 0.5000  12 P 2.98

spin magnetization	0.00	Bohr magnetons per cell
symmetry	No. 221
crystal system	cubic
formation energy from raw total energies	1370.4	meV/atom


# 7
Here is InPd3Ru after structural relaxation from the Alexandria database. Energies are from GGA-PBE.

Cell lengths 4.8265, 4.8265, 4.8265 Å; angles 90.00, 90.00, 90.00 degrees
Closest atoms and distances in Å follow each position.
Positions (direct):
In 0.0000 0.0000 0.0000  12 Pd 3.41
Pd 0.0000 0.5000 0.5000  2 Ru 2.41
Pd 0.5000 0.0000 0.5000  2 Ru 2.41
Pd 0.5000 0.5000 0.0000  2 Ru 2.41
Ru 0.5000 0.5000 0.5000  6 Pd 2.41

spin magnetization	1.03	Bohr magnetons per cell
symmetry	No. 221
DFT formation energy	4.65	eV per formula unit
crystal system	cubic


# 8
Here is KOsO3 after structural relaxation from the Alexandria database. Energies are from GGA-PBE.

Cell lengths 9.1384, 9.1384, 4.0776 Å; angles 92.62, 92.62, 24.01 degrees
Closest atoms and distances in Å follow each position.
Positions (direct):
K 0.1786 0.1786 0.2338  9 O 2.75-2.95
K 0.8214 0.8214 0.7662  9 O 2.75-2.95
Os 0.4387 0.4387 0.2955  6 O 1.89-2.08
Os 0.5613 0.5613 0.7045  6 O 1.89-2.08
O 0.0607 0.0607 0.7115  2 Os 1.90
O 0.3326 0.3326 0.2667  1 Os 1.89
O 0.4473 0.4473 0.7901  3 Os 2.02-2.08
O 0.5527 0.5527 0.2099  3 Os 2.02-2.08
O 0.6674 0.6674 0.7333  1 Os 1.89
O 0.9393 0.9393 0.2885  2 Os 1.90

spin magnetization	0.00	Bohr magnetons per cell
symmetry	No. 12
crystal system	monoclinic
formation energy from raw total energies	-1169.8	meV/atom


| no. | uncorrected energy (eV per atom) |
| --- | --- |
| 1 | -5.643 |
| 2 | -4.522 |
| 3 | -7.921 |
| 4 | -4.334 |
| 5 | -3.221 |
| 6 | -5.233 |
| 7 | -4.589 |
| 8 | -6.610 |